Entry 1:
The following is a DFT calculation (PBE-GGA) of a relaxed structure of YAgPbS3.

The crystal system is monoclinic. As for the formation energy (no corrections): -6.13 eV per formula unit. Its raw total energy is -5.256 eV per atom.

The space group is P2_1/m (No. 11) and the conventional cell measures 8.240, 4.033 and 8.866 Å, with angles of 90.00, 103.10 and 90.00 degrees. Symmetry generates all atoms from Y at (0.173, 0.250, 0.167), Ag at (0.405, 0.750, 0.413), Pb at (0.304, 0.750, 0.767), S at (0.063, 0.250, 0.846), S at (0.245, 0.250, 0.488) and S at (0.390, 0.750, 0.124).


Entry 2:
The following is a DFT calculation (PBE-GGA) of a relaxed structure of Tb2VN4.

The crystal system is monoclinic. As for the formation energy (no corrections): -7.39 eV per formula unit. Its raw total energy is -8.439 eV per atom.

The space group is P2_1/m (No. 11) and the conventional cell measures 5.675, 5.663 and 6.622 Å, with angles of 90.00, 108.02 and 90.00 degrees. Symmetry generates all atoms from Tb at (0.183, 0.250, 0.035), Tb at (0.260, 0.250, 0.559), V at (0.264, 0.750, 0.805), N at (0.044, 0.509, 0.748), N at (0.451, 0.750, 0.081) and N at (0.474, 0.750, 0.650).


Entry 3:
The following is a DFT calculation (PBE-GGA) of a relaxed structure of CePrSi4.

As for the polymorph energy (0 for the lowest one): 0.000 eV/atom. The crystal system is orthorhombic. As for the formation energy (no corrections): -3.70 eV per formula unit. Its raw total energy is -6.017 eV per atom.

The space group is Immm (No. 71) and the conventional cell measures 4.025, 7.234 and 8.384 Å, with angles of 90.00, 90.00 and 90.00 degrees. Symmetry generates all atoms from Ce at (0.000, 0.000, 0.000), Pr at (0.000, 0.000, 0.500) and Si at (0.000, 0.335, 0.254).


Entry 4:
The following is a DFT calculation (PBE-GGA) of a relaxed structure of CoTcWBr2.

The crystal system is tetragonal. As for the formation energy (no corrections): 8.53 eV per formula unit. Its raw total energy is -5.048 eV per atom.

The space group is P4/mmm (No. 123) and the conventional cell measures 4.988, 4.988 and 4.615 Å, with angles of 90.00, 90.00 and 90.00 degrees. Symmetry generates all atoms from Co at (0.000, 0.000, 0.000), Tc at (0.500, 0.500, 0.000), W at (0.000, 0.000, 0.500) and Br at (0.000, 0.500, 0.500).


Entry 5:
The following is a DFT calculation (PBE-GGA) of a relaxed structure of Ba3HfRe.

As for the polymorph energy (0 for the lowest one): 0.000 eV/atom. The crystal system is cubic. The calculated formation energy is 1.388 eV/atom. Its raw total energy is -4.246 eV per atom.

The space group is Pm-3m (No. 221) and the conventional cell measures 5.903, 5.903 and 5.903 Å, with angles of 90.00, 90.00 and 90.00 degrees. Symmetry generates all atoms from Ba at (0.000, 0.000, 0.500), Hf at (0.500, 0.500, 0.500) and Re at (0.000, 0.000, 0.000).


Entry 6:
The following is a DFT calculation (PBE-GGA) of a relaxed structure of Ce2DyRhN4.

The crystal system is orthorhombic. As for the formation energy (no corrections): -8.30 eV per formula unit. Its raw total energy is -8.177 eV per atom.

The space group is Cmcm (No. 63) and the conventional cell measures 3.378, 11.784 and 11.796 Å, with angles of 90.00, 90.00 and 90.00 degrees. Symmetry generates all atoms from Ce at (0.000, 0.130, 0.053), Dy at (0.000, 0.385, 0.250), Rh at (0.000, 0.353, 0.750), N at (0.000, 0.036, 0.250), N at (0.000, 0.224, 0.623) and N at (0.000, 0.500, 0.000).


Entry 7:
The following is a DFT calculation (PBE-GGA) of a relaxed structure of AcGa2SiRu.

The crystal system is orthorhombic. As for the formation energy (no corrections): -2.23 eV per formula unit. Its raw total energy is -5.418 eV per atom.

The space group is Imm2 (No. 44) and the conventional cell measures 4.176, 4.235 and 11.286 Å, with angles of 90.00, 90.00 and 90.00 degrees. Symmetry generates all atoms from Ac at (0.000, 0.000, 0.000), Ga at (0.000, 0.000, 0.624), Ga at (0.000, 0.500, 0.254), Si at (0.000, 0.000, 0.376) and Ru at (0.000, 0.500, 0.763).


Entry 8:
The following is a DFT calculation (PBE-GGA) of a relaxed structure of Ce2CBr2.

The crystal system is orthorhombic. As for the formation energy (no corrections): -4.37 eV per formula unit. Its raw total energy is -5.762 eV per atom.

The space group is Cmc2_1 (No. 36) and the conventional cell measures 3.575, 13.985 and 10.738 Å, with angles of 90.00, 90.00 and 90.00 degrees. Symmetry generates all atoms from Ce at (0.000, 0.033, 0.000), Ce at (0.000, 0.214, 0.194), C at (0.000, 0.376, 0.588), Br at (0.000, 0.101, 0.730) and Br at (0.000, 0.345, 0.924).


Entry 9:
The following is a DFT calculation (PBE-GGA) of a relaxed structure of MnAgAu.

As for the polymorph energy (0 for the lowest one): 0.081 eV/atom. The crystal system is monoclinic. The calculated formation energy is 0.098 eV/atom. Its raw total energy is -5.001 eV per atom.

The space group is Cm (No. 8) and the conventional cell measures 14.484, 3.017 and 4.708 Å, with angles of 90.00, 90.01 and 90.00 degrees. Symmetry generates all atoms from Mn at (0.000, 0.000, 0.000), Mn at (0.131, 0.000, 0.500), Ag at (0.167, 0.500, 0.001), Ag at (0.295, 0.500, 0.501), Au at (0.342, 0.000, 0.001) and Au at (0.474, 0.000, 0.500).


Entry 10:
The following is a DFT calculation (PBE-GGA) of a relaxed structure of CsGaGe.

The crystal system is orthorhombic. The calculated formation energy is -0.009 eV/atom. Its raw total energy is -2.842 eV per atom.

The space group is Pnma (No. 62) and the conventional cell measures 16.414, 5.478 and 5.847 Å, with angles of 90.00, 90.00 and 90.00 degrees. Symmetry generates all atoms from Cs at (0.144, 0.250, 0.001), Ga at (0.000, 0.000, 0.500) and Ge at (0.121, 0.750, 0.500).


Entry 11:
The following is a DFT calculation (PBE-GGA) of a relaxed structure of PmNdNi.

As for the polymorph energy (0 for the lowest one): 0.000 eV/atom. The crystal system is monoclinic. The calculated formation energy is -0.219 eV/atom. Its raw total energy is -5.319 eV per atom.

The space group is Cm (No. 8) and the conventional cell measures 12.551, 3.792 and 8.258 Å, with angles of 90.00, 126.60 and 90.00 degrees. Symmetry generates all atoms from Pm at (0.000, 0.000, 0.000), Pm at (0.083, 0.500, 0.689), Nd at (0.258, 0.500, 0.464), Nd at (0.338, 0.000, 0.151), Ni at (0.046, 0.000, 0.397) and Ni at (0.294, 0.000, 0.756).


Entry 12:
The following is a DFT calculation (PBE-GGA) of a relaxed structure of Tb4YBi2.

The crystal system is tetragonal. The calculated formation energy is 0.301 eV/atom. Its raw total energy is -4.377 eV per atom.

The space group is I4/mmm (No. 139) and the conventional cell measures 5.349, 5.349 and 16.858 Å, with angles of 90.00, 90.00 and 90.00 degrees. Symmetry generates all atoms from Tb at (0.000, 0.000, 0.182), Tb at (0.000, 0.500, 0.000), Y at (0.000, 0.000, 0.000) and Bi at (0.000, 0.000, 0.365).